# 1
PBE SmTmPd2, relaxed; space group = No. 6; energy above the lowest structure with this stoichiometry = 0 meV/atom; formation energy from the elements = -893 meV/atom; crystal system = monoclinic; energy = -5.787 eV/atom
1.0
3.762 0.000 0.000
0.000 4.562 0.000
-1.888 0.000 5.297
Sm Tm Pd
1 1 2
Direct
0.000 0.000 0.000
0.726 0.500 0.451
0.274 0.000 0.548
0.446 0.500 0.892

***

# 2
PBE La4Pr4Dy3, relaxed; space group = No. 71; energy above the lowest structure with this stoichiometry = 0 meV/atom; formation energy from the elements = 115 meV/atom; crystal system = orthorhombic; energy = -4.670 eV/atom
1.0
-1.847 4.838 11.143
1.847 -4.838 11.143
1.847 4.838 -11.143
La Pr Dy
4 4 3
Direct
0.024 0.856 0.168
0.312 0.144 0.168
0.688 0.856 0.832
0.976 0.144 0.832
0.266 0.766 0.500
0.311 0.000 0.311
0.689 0.000 0.689
0.734 0.234 0.500
0.000 0.500 0.500
0.397 0.397 0.000
0.603 0.603 0.000

***

# 3
PBE CdSbOs, relaxed; space group = No. 187; energy relative to the elements, uncorrected = 0.60 eV/atom; energy above the lowest structure with this stoichiometry = 231 meV/atom; crystal system = hexagonal; energy = -4.826 eV/atom
1.0
4.512 0.000 0.000
-2.256 3.908 0.000
0.000 0.000 3.454
Cd Sb Os
1 1 1
Direct
0.000 0.000 0.000
0.667 0.333 0.500
0.333 0.667 0.500

***

# 4
PBE Cs3ErTh2Te6, relaxed; space group = No. 12; energy relative to the elements, uncorrected = -1.23 eV/atom; crystal system = monoclinic; energy = -4.628 eV/atom
1.0
3.924 -6.794 0.000
3.924 6.794 0.000
-2.615 0.000 9.067
Cs Er Th Te
3 1 2 6
Direct
0.000 0.000 0.000
0.331 0.669 0.000
0.669 0.331 0.000
0.500 0.500 0.500
0.166 0.834 0.500
0.834 0.166 0.500
0.108 0.435 0.304
0.240 0.240 0.697
0.435 0.108 0.304
0.565 0.892 0.696
0.760 0.760 0.303
0.892 0.565 0.696

***

# 5
PBE Ba2NaReSe, relaxed; space group = No. 123; energy relative to the elements, uncorrected = 0.43 eV/atom; crystal system = tetragonal; energy = -3.790 eV/atom
1.0
5.769 0.000 0.000
0.000 5.769 0.000
0.000 0.000 5.411
Ba Na Re Se
2 1 1 1
Direct
0.000 0.500 0.000
0.500 0.000 0.000
0.000 0.000 0.500
0.000 0.000 0.000
0.500 0.500 0.500

***

# 6
PBE CsSc2CuBr8, relaxed; space group = No. 148; energy relative to the elements, uncorrected = -1.39 eV/atom; crystal system = trigonal; energy = -3.977 eV/atom
1.0
3.505 2.023 10.129
-3.505 2.023 10.129
0.000 -4.047 10.129
Cs Sc Cu Br
1 2 1 8
Direct
0.000 0.000 0.000
0.240 0.240 0.240
0.760 0.760 0.760
0.500 0.500 0.500
0.137 0.442 0.763
0.237 0.863 0.558
0.322 0.322 0.322
0.442 0.763 0.137
0.558 0.237 0.863
0.678 0.678 0.678
0.763 0.137 0.442
0.863 0.558 0.237

***

Question: Which value of energy does entry 3 give?
Answer: -4.826 eV/atom

***

Question: Which value of energy does entry 4 give?
Answer: -4.628 eV/atom

***

Question: What is the energy in the fifth record?
Answer: -3.790 eV/atom